# 1
A geometry-optimized Ac6LaY2 structure, computed with PBE.

Computed properties:
The total energy comes out at -4.56 eV/atom. As for the space group: C2/c. For the theoretical density, the calculation gives 7.33 g cm⁻³.

```
Ac6LaY2
1.0
-1.2625 6.9549 -3.2364
-8.8818 0.5925 4.5603
2.3465 4.5154 8.6105
Y La Ac
4 2 12
Direct
0.8938 0.8010 0.7940
0.1062 0.1990 0.2060
0.3938 0.7940 0.8010
0.6062 0.2060 0.1990
0.2500 0.0389 0.9611
0.7500 0.9611 0.0389
0.3716 0.4014 0.3963
0.3823 0.8866 0.3466
0.8823 0.3466 0.8866
0.1284 0.6037 0.5986
0.1177 0.6534 0.1134
0.6177 0.1134 0.6534
0.8737 0.8992 0.3978
0.6263 0.6022 0.1008
0.6284 0.5986 0.6037
0.3737 0.3978 0.8992
0.8716 0.3963 0.4014
0.1263 0.1008 0.6022
```



# 2
A geometry-optimized AcLa8Y6 structure, computed with PBE.

Computed properties:
The total energy comes out at -5.35 eV/atom. As for the space group: R-3. For the theoretical density, the calculation gives 5.77 g cm⁻³.

```
AcLa8Y6
1.0
8.1831 0.3695 3.2166
2.3206 7.8558 3.2166
0.4718 0.3695 8.7799
La Y Ac
8 6 1
Direct
0.3380 0.2268 0.9145
0.6620 0.7732 0.0855
0.9145 0.3380 0.2268
0.5738 0.5738 0.5738
0.7732 0.0855 0.6620
0.2268 0.9145 0.3380
0.0855 0.6620 0.7732
0.4262 0.4262 0.4262
0.5496 0.1068 0.2649
0.4504 0.8932 0.7351
0.2649 0.5496 0.1068
0.7351 0.4504 0.8932
0.1068 0.2649 0.5496
0.8932 0.7351 0.4504
0.0000 0.0000 0.0000
```



# 3
A geometry-optimized Ac7La2Y2 structure, computed with PBE.

Computed properties:
The total energy comes out at -4.37 eV/atom. As for the space group: C2/m. For the theoretical density, the calculation gives 7.10 g cm⁻³.

```
Ac7La2Y2
1.0
7.2652 0.0529 -1.5913
-0.0737 10.1255 0.0655
-2.4299 -0.0529 7.0293
Ac La Y
7 2 2
Direct
0.9999 0.3115 0.5009
0.4991 0.3115 0.0001
0.0001 0.6885 0.4991
0.5009 0.6885 0.9999
0.4998 0.1839 0.5002
0.0000 0.0000 0.0000
0.5002 0.8161 0.4998
0.7533 0.5000 0.7533
0.2467 0.5000 0.2467
0.2700 0.9996 0.7300
0.7300 0.0004 0.2700
```



# 4
A geometry-optimized AcLaY3 structure, computed with PBE.

Computed properties:
The total energy comes out at -5.64 eV/atom. As for the space group: Pnma. For the theoretical density, the calculation gives 5.84 g cm⁻³.

```
AcLaY3
1.0
-4.5774 -1.2647 3.5316
4.0923 -1.1450 4.8938
-1.0527 18.0124 5.0951
Y Ac La
12 4 4
Direct
0.7500 0.8228 0.4005
0.7500 0.8345 0.0003
0.2500 0.6772 0.9005
0.2501 0.6645 0.3021
0.7499 0.3355 0.6979
0.2499 0.1645 0.1979
0.7500 0.3345 0.4997
0.2500 0.1655 0.9997
0.2500 0.6655 0.5003
0.7500 0.3228 0.0995
0.2500 0.1772 0.5995
0.7501 0.8355 0.8021
0.2498 0.6659 0.1006
0.2502 0.1659 0.3994
0.7502 0.3341 0.8994
0.7498 0.8341 0.6006
0.7499 0.3407 0.2956
0.7501 0.8407 0.2044
0.2501 0.6593 0.7044
0.2499 0.1593 0.7956
```



# 5
A geometry-optimized AcLaY6 structure, computed with PBE.

Computed properties:
The total energy comes out at -5.58 eV/atom. As for the space group: C2/m. For the theoretical density, the calculation gives 4.90 g cm⁻³.

```
AcLaY6
1.0
-3.4946 1.2226 -4.8014
-2.1018 -5.1806 -2.3459
-8.1834 -0.3257 3.7922
Y Ac La
6 1 1
Direct
0.0456 0.5254 0.2977
0.9544 0.4746 0.7023
0.6223 0.6223 0.0808
0.5254 0.0456 0.2977
0.4746 0.9544 0.7023
0.3777 0.3777 0.9192
0.0000 0.0000 0.0000
0.5000 0.5000 0.5000
```



# 6
A geometry-optimized Ac3La3Y structure, computed with PBE.

Computed properties:
The total energy comes out at -4.71 eV/atom. As for the space group: C2/m. For the theoretical density, the calculation gives 6.92 g cm⁻³.

```
Ac3La3Y
1.0
-3.3487 0.4824 6.2015
-4.1174 -5.0739 -2.6848
6.8094 -8.0832 4.4650
La Ac Y
6 6 2
Direct
0.8139 0.1861 0.5000
0.1826 0.8174 0.0000
0.3223 0.3223 0.5609
0.8174 0.1826 0.0000
0.1861 0.8139 0.5000
0.6777 0.6777 0.4390
0.8722 0.5081 0.7498
0.6730 0.6730 0.0756
0.3270 0.3270 0.9244
0.1278 0.4919 0.2502
0.4919 0.1278 0.2502
0.5081 0.8722 0.7498
0.0224 0.0224 0.7467
0.9776 0.9776 0.2533
```



# 7
A geometry-optimized Ac7La2Y2 structure, computed with PBE.

Computed properties:
The total energy comes out at -4.51 eV/atom. As for the space group: C2/m. For the theoretical density, the calculation gives 7.29 g cm⁻³.

```
Ac7La2Y2
1.0
0.5219 -2.1749 6.2558
3.3225 -8.0484 -0.6136
7.4350 3.4236 3.0317
Y La Ac
2 2 7
Direct
0.5000 0.7728 0.2272
0.5000 0.2272 0.7728
0.2039 0.5825 0.5825
0.7961 0.4175 0.4175
0.1824 0.0724 0.5805
0.1824 0.5805 0.0724
0.5766 0.7814 0.7814
0.0000 0.0000 0.0000
0.8176 0.9276 0.4195
0.4234 0.2186 0.2186
0.8176 0.4195 0.9276
```



# 8
A geometry-optimized Ac3La3Y2 structure, computed with PBE.

Computed properties:
The total energy comes out at -4.93 eV/atom. As for the space group: C2/m. For the theoretical density, the calculation gives 6.73 g cm⁻³.

```
Ac3La3Y2
1.0
5.7482 0.0000 -1.7352
-0.4975 6.0474 -1.6480
-0.3309 -0.4794 9.2923
Y La Ac
2 3 3
Direct
0.7522 0.6825 0.5044
0.2478 0.3175 0.4956
0.1384 0.7011 0.2768
0.0000 0.0000 0.0000
0.8616 0.2989 0.7232
0.3635 0.9085 0.7270
0.5000 0.5000 0.0000
0.6365 0.0915 0.2730
```



# 9
A geometry-optimized Ac5La4Y4 structure, computed with PBE.

Computed properties:
The total energy comes out at -5.04 eV/atom. As for the space group: I4/m. For the theoretical density, the calculation gives 6.79 g cm⁻³.

```
Ac5La4Y4
1.0
-0.2819 1.9138 4.9899
1.3570 -7.9330 5.9891
9.3974 2.5376 2.4276
Y Ac La
4 5 4
Direct
0.2344 0.6097 0.9214
0.1558 0.0786 0.6097
0.8442 0.9214 0.3903
0.7656 0.3903 0.0786
0.6962 0.8453 0.7622
0.3038 0.1547 0.2378
0.0000 0.0000 0.0000
0.4584 0.2378 0.8453
0.5416 0.7622 0.1547
0.6130 0.3114 0.4625
0.9244 0.4625 0.6886
0.3870 0.6886 0.5375
0.0756 0.5375 0.3114
```



# 10
A geometry-optimized Ac8LaY4 structure, computed with PBE.

Computed properties:
The total energy comes out at -4.49 eV/atom. As for the space group: R-3m. For the theoretical density, the calculation gives 6.52 g cm⁻³.

```
Ac8LaY4
1.0
-2.7899 -8.3002 -7.9890
8.3010 -2.1924 8.1724
-4.2973 4.5357 5.5817
Ac Y La
8 4 1
Direct
0.5198 0.7599 0.7603
0.0004 0.2405 0.7603
0.9996 0.2401 0.2397
0.4802 0.2401 0.2397
0.9996 0.7595 0.2397
0.5198 0.7599 0.2798
0.0004 0.7599 0.7603
0.4802 0.2401 0.7202
0.0000 0.0000 0.0000
0.5000 0.5000 0.0000
0.5000 0.0000 0.0000
0.0000 0.5000 0.0000
0.0000 0.5000 0.5000
```



# 11
A geometry-optimized AcLa2Zn structure, computed with PBE.

Computed properties:
The total energy comes out at -3.96 eV/atom. As for the space group: P4/mmm. For the theoretical density, the calculation gives 7.09 g cm⁻³.

```
AcLa2Zn
1.0
-1.8666 -0.4732 -3.3043
-3.2597 -0.5568 1.9211
-1.7167 8.9651 -0.3142
Ac Zn La
1 1 2
Direct
0.5000 0.5000 0.5000
0.5000 0.5000 0.0000
0.0000 0.0000 0.8001
0.0000 0.0000 0.1999
```



# 12
A geometry-optimized AcLaZn3 structure, computed with PBE.

Computed properties:
The total energy comes out at -2.85 eV/atom. As for the space group: Cmcm. For the theoretical density, the calculation gives 7.20 g cm⁻³.

```
AcLaZn3
1.0
3.8262 0.0000 -0.5268
0.0000 4.7265 0.0000
0.0240 0.0000 14.3322
La Zn Ac
2 6 2
Direct
0.7917 0.2500 0.5834
0.2083 0.7500 0.4166
0.3278 0.7500 0.6557
0.3804 0.2500 0.7608
0.6722 0.2500 0.3443
0.4765 0.2500 0.9531
0.5235 0.7500 0.0469
0.6196 0.7500 0.2392
0.9273 0.7500 0.8547
0.0727 0.2500 0.1453
```